No. 1
DFT (PBE-GGA) results for InAgS2O8 after structural relaxation.

The structure in extended XYZ format:
```
12
Lattice="4.9029 0.0000 0.0000 2.4515 4.2460 0.0000 2.4515 1.4153 7.7307" Properties=species:S:1:pos:R:3 pbc="T T T"
In 0.0000 0.0000 0.0000
S 7.3544 4.2460 5.8988
S 2.4514 1.4153 1.8319
O 4.1633 4.4597 1.3171
O 3.1223 3.0047 6.4136
O 7.3544 4.2460 4.4352
O 3.8619 1.3757 1.3171
O 5.6425 1.2017 6.4136
O 5.9439 4.2857 6.4136
O 2.4514 1.4153 3.2955
O 6.6835 2.6567 1.3171
Ag 4.9029 2.8307 3.8653
```

Space-group type   R-3
Magnetization   0.0 μB/cell
Calculated total energy   -5.696 eV per atom

No. 2
DFT (PBE-GGA) results for In2AgSbO6 after structural relaxation.

The structure in extended XYZ format:
```
10
Lattice="5.6005 0.0001 0.0000 2.8003 4.8500 -0.0002 2.7999 1.6167 5.0095" Properties=species:S:1:pos:R:3 pbc="T T T"
O 4.5758 1.5719 1.1146
O 6.1760 4.6596 3.8096
O 4.0772 3.0187 3.8095
O 7.5518 3.1769 1.1146
O 4.6739 4.9515 1.1145
O 6.5476 2.0217 3.8095
Sb 2.8003 1.6167 0.1460
In 5.6005 3.2334 2.0956
In 2.7999 1.6168 4.8294
Ag 8.4004 4.8499 3.2797
```

Space-group type   R3
Magnetization   0.0 μB/cell
Calculated total energy   -5.481 eV per atom

No. 3
DFT (PBE-GGA) results for Sc4InAgO after structural relaxation.

The structure in extended XYZ format:
```
14
Lattice="-1.7384 4.4537 3.9713 -5.9553 -1.2664 -1.1867 0.8210 -7.0632 3.4172" Properties=species:S:1:pos:R:3 pbc="T T T"
Sc -2.3991 -2.2121 6.2941
Sc -2.3665 1.0588 2.6402
Sc -4.4736 -1.6638 -0.0923
Sc -3.4363 -1.9379 3.1009
Sc 0.4105 -3.5316 1.7086
Sc -0.4587 -1.3048 3.6942
Sc -4.5062 -4.9346 3.5616
Sc -2.5671 -4.1648 1.1153
In -5.3464 0.1957 2.3037
In -1.5262 -4.0715 3.8981
Ag -5.3726 -2.4295 5.2363
Ag -1.5001 -1.4464 0.9654
O -2.3819 -0.4920 4.3726
O -4.4907 -3.3838 1.8291
```

Space-group type   Cmcm
Magnetization   0.0 μB/cell
Calculated total energy   -6.123 eV per atom

No. 4
DFT (PBE-GGA) results for InAgSeO5 after structural relaxation.

The structure in extended XYZ format:
```
16
Lattice="-1.3005 4.2817 -3.9982 -5.2579 -2.8355 0.5696 1.0103 3.5899 6.4688" Properties=species:S:1:pos:R:3 pbc="T T T"
O -1.8052 2.1694 2.9493
O -2.8414 1.7790 5.4991
O -4.6744 -1.3429 1.8048
O -2.7067 3.2571 -2.4589
O -3.7429 2.8666 0.0909
O -3.7075 3.8166 3.8677
O -4.3533 1.1822 3.2592
O -1.8406 1.2195 -0.8275
O -1.1948 3.8539 -0.2190
O -0.8737 6.3789 1.2354
Se -2.3576 2.8237 -0.8693
Se -3.1905 2.2123 3.9095
In 0.5052 1.7950 3.2344
In 0.0000 0.0000 0.0000
Ag -1.8252 4.6677 2.3336
Ag -3.7229 0.3684 0.7066
```

Space-group type   C2/c
Magnetization   0.0 μB/cell
Calculated total energy   -5.018 eV per atom

No. 5
DFT (PBE-GGA) results for InSiAgO4 after structural relaxation.

The structure in extended XYZ format:
```
7
Lattice="-0.4624 -4.6735 2.5925 2.0306 -2.5607 -4.2539 2.8476 4.0687 2.2925" Properties=species:S:1:pos:R:3 pbc="T T T"
O 1.3143 -4.4790 0.9730
O 2.1295 1.7958 1.9240
O 2.2056 -2.5125 -1.8488
O 3.1823 -1.1353 0.2139
Ag 0.0000 0.0000 0.0000
In 0.7841 -3.6171 -0.8307
Si 2.8312 -1.0546 -1.3961
```

Space-group type   I-4
Magnetization   0.0 μB/cell
Calculated total energy   -6.113 eV per atom

No. 6
DFT (PBE-GGA) results for SrIn2AgO after structural relaxation.

The structure in extended XYZ format:
```
5
Lattice="-3.3600 1.5737 -3.3609 -0.5610 -4.5236 -1.5572 -3.6650 -0.6948 3.3387" Properties=species:S:1:pos:R:3 pbc="T T T"
O 0.0000 0.0000 0.0000
In -1.8325 -0.3474 1.6693
In -1.6800 0.7868 -1.6805
Ag -3.7930 -1.8224 -0.7897
Sr -0.2805 -2.2618 -0.7786
```

Space-group type   P4/mmm
Magnetization   0.0 μB/cell
Calculated total energy   -3.637 eV per atom

No. 7
DFT (PBE-GGA) results for SrInAg2O after structural relaxation.

The structure in extended XYZ format:
```
5
Lattice="-3.8977 -2.4661 -1.1198 0.2293 -2.3993 4.4860 -2.6999 3.3831 1.9474" Properties=species:S:1:pos:R:3 pbc="T T T"
Sr -3.1842 -0.7412 2.6568
O 0.0000 0.0000 0.0000
Ag -1.3500 1.6915 0.9737
Ag -1.9488 -1.2330 -0.5599
In 0.1146 -1.1997 2.2430
```

Space-group type   P4/mmm
Magnetization   0.0 μB/cell
Calculated total energy   -3.129 eV per atom

No. 8
DFT (PBE-GGA) results for Tb4InAgO after structural relaxation.

The structure in extended XYZ format:
```
14
Lattice="-2.0975 -5.4655 -3.2605 6.3289 -2.1740 -0.4272 0.2326 -0.9643 8.3527" Properties=species:S:1:pos:R:3 pbc="T T T"
Tb 2.2320 -4.3019 2.3325
Tb 0.1163 -0.4822 4.1764
Tb 3.2808 -1.5691 3.9627
Tb -0.9324 -3.2149 2.5461
Tb 0.4007 -3.8777 -0.6435
Tb -0.1761 -6.4904 4.1073
Tb 4.6401 -2.1134 0.5577
Tb 4.0633 -4.7262 5.3085
Ag 1.3854 -1.4349 1.5140
Ag 3.0786 -7.1689 3.1510
O 0.1369 -5.0728 1.5296
O 4.3271 -3.5310 3.1354
In 0.9553 -3.3833 5.0569
In 3.5087 -5.2205 -0.3919
```

Space-group type   Cmcm
Magnetization   0.0 μB/cell
Calculated total energy   -5.150 eV per atom

No. 9
DFT (PBE-GGA) results for InAgTeO6 after structural relaxation.

The structure in extended XYZ format:
```
18
Lattice="4.8770 0.0000 0.0000 0.0000 4.8770 0.0000 0.0000 0.0000 9.8010" Properties=species:S:1:pos:R:3 pbc="T T T"
O 0.9064 3.9706 1.7909
O 1.0412 3.8359 8.1361
O 1.3973 1.3973 3.2355
O 1.5455 1.5455 9.6721
O 1.5321 1.5321 6.6915
O 3.4797 3.4797 3.2355
O 3.9840 0.8930 4.7716
O 3.9706 0.9064 1.7909
O 0.8930 3.9840 4.7716
O 3.3316 3.3316 9.6721
O 3.8359 1.0412 8.1361
O 3.3449 3.3449 6.6915
In 0.0000 0.0000 6.5503
In 2.4385 2.4385 1.6498
Te 2.4385 2.4385 8.1703
Te 0.0000 0.0000 3.2698
Ag 2.4385 2.4385 4.8875
Ag 0.0000 0.0000 9.7880
```

Space-group type   P4_2nm
Magnetization   2.2 μB/cell
Calculated total energy   -5.056 eV per atom

No. 10
DFT (PBE-GGA) results for In2AgTeO8 after structural relaxation.

The structure in extended XYZ format:
```
12
Lattice="4.9022 -0.1454 -0.0027 -0.1347 4.8165 -0.0050 0.0035 0.0073 6.5814" Properties=species:S:1:pos:R:3 pbc="T T T"
Te 0.0000 0.0000 0.0000
O 0.7038 3.8360 1.4730
O 3.1991 3.3935 3.2853
O 4.0672 0.8425 5.1007
O 0.7057 3.8402 5.0994
O 3.2975 3.3940 6.5759
O 1.4735 1.2845 -0.0022
O 4.0654 0.8382 1.4743
O 1.5719 1.2849 3.2885
In 2.3863 2.3411 4.9363
In 2.3847 2.3374 1.6374
Ag 0.0018 0.0037 3.2907
```

Space-group type   P2/m
Magnetization   0.0 μB/cell
Calculated total energy   -5.123 eV per atom

No. 11
DFT (PBE-GGA) results for UInAg2O6 after structural relaxation.

The structure in extended XYZ format:
```
10
Lattice="-4.4636 -1.3794 3.2593 -2.4549 -2.9814 -4.6237 5.3712 -1.1844 1.8367" Properties=species:S:1:pos:R:3 pbc="T T T"
Ag 1.1205 -1.6294 0.4557
Ag -2.6678 -3.9157 0.0166
O -0.6515 -2.2776 1.8146
O 3.3966 -1.8110 1.3166
O -3.7228 -2.2511 1.4557
O -4.9439 -3.7342 -0.8443
O -0.8958 -3.2675 -1.3422
O 2.1755 -3.2940 -0.9834
In -2.2318 -0.6897 1.6297
U -1.2275 -1.4907 -2.3118
```

Space-group type   C2/m
Magnetization   0.1 μB/cell
Calculated total energy   -6.511 eV per atom

No. 12
DFT (PBE-GGA) results for UIn2AgO8 after structural relaxation.

The structure in extended XYZ format:
```
12
Lattice="4.9861 -0.1317 -0.2024 -0.1152 4.9839 0.2002 -0.2672 0.2734 6.8247" Properties=species:S:1:pos:R:3 pbc="T T T"
O 3.2723 3.5359 3.4101
O 3.1220 3.6571 6.8231
O 0.9150 3.9442 1.4773
O 4.0142 0.8501 1.5642
O 1.3314 1.5896 3.4124
O 0.5895 4.2755 5.2583
O 1.4818 1.4685 -0.0006
O 3.6887 1.1813 5.3452
Ag -0.1336 0.1367 3.4124
U 0.0000 0.0000 0.0000
In 2.1303 2.7363 5.0888
In 2.4735 2.3893 1.7337
```

Space-group type   P-1
Magnetization   0.7 μB/cell
Calculated total energy   -6.489 eV per atom

no.,formation energy (no corrections) (eV/atom)
1,-1.24
2,-1.26
3,-1.00
4,-0.79
5,-1.71
6,-0.64
7,-0.11
8,-1.00
9,-0.78
10,-0.86
11,-1.56
12,-1.55